[1]
DFT (GGA-PBE) results for crystalline ScPdPb2 at its relaxed geometry.

Geometry as POSCAR:
```
ScPdPb2
1.0
4.165 0.000 0.000
0.000 4.642 0.000
0.000 0.000 4.642
Sc Pb Pd
1 2 1
Direct
0.500 0.000 0.000 Sc
0.000 0.000 0.500 Pb
0.000 0.500 0.000 Pb
0.500 0.500 0.500 Pd
```

Values from the calculation:
- Energy above the most stable polymorph in this dataset: 0.00 eV per formula unit
- Spin magnetization: 0.0 μB per formula unit
- Density of states at the Fermi level: 0.673 states/eV/atom

[2]
DFT (GGA-PBE) results for crystalline Tb2AgRu at its relaxed geometry.

Geometry as POSCAR:
```
Tb2AgRu
1.0
-0.923 2.400 -2.900
1.658 -0.433 -3.476
-5.456 -4.106 -4.253
Ag Ru Tb
1 1 2
Direct
0.500 0.500 0.500 Ag
0.000 0.000 0.000 Ru
0.736 0.736 0.792 Tb
0.264 0.264 0.208 Tb
```

Values from the calculation:
- Spin magnetization: 0.0 μB per formula unit
- Density of states at the Fermi level: 0.593 states/eV/atom

[3]
DFT (GGA-PBE) results for crystalline UPa6Ga at its relaxed geometry.

Geometry as POSCAR:
```
UPa6Ga
1.0
-4.126 -5.770 -1.442
0.180 -7.748 1.335
-1.775 -1.749 4.894
Pa Ga U
6 1 1
Direct
0.618 0.619 0.882 Pa
0.745 0.745 0.255 Pa
0.255 0.255 0.745 Pa
0.882 0.882 0.619 Pa
0.118 0.118 0.381 Pa
0.382 0.381 0.118 Pa
0.500 0.500 0.500 Ga
0.000 0.000 0.000 U
```

Values from the calculation:
- Spin magnetization: 1.1 μB per formula unit
- Density of states at the Fermi level: 2.095 states/eV/atom

Number 1: energy of formation -0.312 eV per atom. Number 2: energy of formation -0.124 eV per atom. Number 3: energy of formation -0.069 eV per atom.